This record from Alexandria describes a relaxed Rb2Rh3F10 crystal. The functional is PBE-GGA.

For the energy, the calculation gives -4.647 eV per atom. The volume is 15.539 Å³/atom. For the magnetization, the calculation gives 1.0 μB/f.u. The value obtained for the formation energy without anion corrections is -27.0 eV/f.u.

abc: 19.3524 6.4002 8.1686
angles: 90.00 112.86 90.00
Space group C2/m (No. 12)
Symmetry-distinct sites (fractional):
Rb 0.1211 0.0000 0.2123 x4
Rb 0.2179 0.0000 0.8253 x4
Rh 0.0000 0.2499 0.5000 x4
Rh 0.0737 0.5000 0.9658 x4
Rh 0.1772 0.5000 0.5074 x4
F 0.0000 0.2842 0.0000 x4
F 0.0199 0.5000 0.6867 x4
F 0.0210 0.0000 0.6736 x4
F 0.1080 0.2498 0.5149 x8
F 0.1383 0.5000 0.2311 x4
F 0.1409 0.2784 0.9515 x8
F 0.2289 0.5000 0.7663 x4
F 0.2500 0.2500 0.5000 x4